A plane-wave DFT calculation with PBE was carried out for a relaxed Cs3NdSc2Te6 crystal.

abc: 7.7543 7.7543 9.2480
angles: 98.06 98.06 119.99
Last column: nearest neighbours and their distance in Å.
Element x y z (fractional)
Cs: 0.0000 0.0000 0.0000  6 Te 3.72-3.85
Cs: 0.3388 0.6612 0.0000  6 Te 3.75-3.86
Cs: 0.6612 0.3388 0.0000  6 Te 3.75-3.86
Nd: 0.5000 0.5000 0.5000  6 Te 3.18-3.19
Sc: 0.1673 0.8327 0.5000  6 Te 3.00-3.01
Sc: 0.8327 0.1673 0.5000  6 Te 3.00-3.01
Te: 0.0859 0.4380 0.3143  2 Sc 3.00-3.01, 1 Nd 3.19
Te: 0.2090 0.2090 0.6834  2 Sc 3.00, 1 Nd 3.18
Te: 0.4380 0.0859 0.3143  2 Sc 3.00-3.01, 1 Nd 3.19
Te: 0.5620 0.9141 0.6857  2 Sc 3.00-3.01, 1 Nd 3.19
Te: 0.7910 0.7910 0.3166  2 Sc 3.00, 1 Nd 3.18
Te: 0.9141 0.5620 0.6857  2 Sc 3.00-3.01, 1 Nd 3.19

Output
Total magnetic moment = 0.00 μB/atom
Crystal system = monoclinic
ΔE_f (raw) = -1284 meV per atom
SG = C2/m (12)
ρ = 5.02 g cm⁻³
VASP energy = -4.521 eV/atom